The following is a PBE+U calculation of crystalline VZn6P3O16 at its relaxed geometry, from the Alexandria database.

## Properties
density of states at the Fermi level = 0.00 states/eV/atom
M_tot = 0.00 μB per cell
DFT total energy = -6.13 eV/atom
space-group type = P1, No. 1

a b c (Å): 5.4258 8.5502 8.5456
angles (deg): 105.48 108.07 89.96
Positions (direct):
P (0.1576, 0.4609, 0.7519)
P (0.8522, 0.5355, 0.2405)
P (0.4000, 0.0432, 0.2485)
O (0.3893, 0.4643, 0.6861)
O (0.8289, 0.5852, 0.0787)
O (0.6967, 0.0471, 0.3027)
O (0.9402, 0.3568, 0.2113)
O (0.7227, 0.8934, 0.9333)
O (0.0696, 0.6398, 0.7923)
O (0.6619, 0.8360, 0.5830)
O (0.6053, 0.5376, 0.2913)
O (0.2113, 0.4015, 0.9108)
O (0.7259, 0.1677, 0.8062)
O (0.9228, 0.3514, 0.5971)
O (0.2554, 0.9582, 0.7057)
O (0.0779, 0.6502, 0.3979)
O (0.3259, 0.1491, 0.4092)
O (0.2861, 0.8607, 0.2086)
O (0.2711, 0.1013, 0.0911)
Zn (0.0541, 0.2583, 0.0010)
Zn (0.5948, 0.2854, 0.6316)
Zn (0.9670, 0.2228, 0.3737)
Zn (0.0146, 0.7648, 0.6178)
Zn (0.4075, 0.7163, 0.3624)
Zn (0.9748, 0.7477, 0.0055)
V (0.5864, 0.9647, 0.7619)